1.
Tb6CBr12: optimized geometry, PBE. Values from VASP.

Geometry as Quantum ESPRESSO input:
```
&SYSTEM
  ibrav = 0, nat = 19, ntyp = 3
/
ATOMIC_SPECIES
Tb 158.93 Tb.upf
C 12.01 C.upf
Br 79.90 Br.upf
CELL_PARAMETERS angstrom
5.087 2.937 6.086
-5.087 2.937 6.086
0.000 -5.874 6.086
ATOMIC_POSITIONS crystal
Tb 0.292 0.292 0.673
Tb 0.292 0.673 0.292
Tb 0.327 0.708 0.708
Tb 0.673 0.292 0.292
Tb 0.708 0.327 0.708
Tb 0.708 0.708 0.327
C 0.500 0.500 0.500
Br 0.063 0.063 0.670
Br 0.063 0.670 0.063
Br 0.071 0.618 0.618
Br 0.330 0.937 0.937
Br 0.382 0.382 0.929
Br 0.382 0.929 0.382
Br 0.618 0.071 0.618
Br 0.618 0.618 0.071
Br 0.670 0.063 0.063
Br 0.929 0.382 0.382
Br 0.937 0.330 0.937
Br 0.937 0.937 0.330
```

2.
NaCuHgF6: optimized geometry, PBE. Values from VASP.

Geometry as Quantum ESPRESSO input:
```
&SYSTEM
  ibrav = 0, nat = 18, ntyp = 4
/
ATOMIC_SPECIES
Na 22.99 Na.upf
Cu 63.55 Cu.upf
Hg 200.59 Hg.upf
F 19.00 F.upf
CELL_PARAMETERS angstrom
5.716 0.000 0.000
-2.858 4.950 0.000
0.000 0.000 9.161
ATOMIC_POSITIONS crystal
Na 0.000 0.000 0.000
Na 0.000 0.000 0.500
Cu 0.333 0.667 0.250
Cu 0.667 0.333 0.750
Hg 0.333 0.667 0.750
Hg 0.667 0.333 0.250
F 0.053 0.384 0.133
F 0.053 0.669 0.367
F 0.331 0.384 0.367
F 0.331 0.947 0.133
F 0.384 0.053 0.633
F 0.384 0.331 0.867
F 0.616 0.669 0.133
F 0.616 0.947 0.367
F 0.669 0.053 0.867
F 0.669 0.616 0.633
F 0.947 0.331 0.633
F 0.947 0.616 0.867
```

3.
BeAgH3: optimized geometry, PBE. Values from VASP.

Geometry as Quantum ESPRESSO input:
```
&SYSTEM
  ibrav = 0, nat = 5, ntyp = 3
/
ATOMIC_SPECIES
Be 9.01 Be.upf
Ag 107.87 Ag.upf
H 1.01 H.upf
CELL_PARAMETERS angstrom
3.387 0.000 0.000
0.000 3.387 0.000
0.000 0.000 3.387
ATOMIC_POSITIONS crystal
Be 0.000 0.000 0.000
Ag 0.500 0.500 0.500
H 0.000 0.000 0.500
H 0.000 0.500 0.000
H 0.500 0.000 0.000
```

Number 1: raw total energy -82.995 eV/cell. Number 2: raw total energy -64.888 eV/cell. Number 3: raw total energy -14.265 eV/cell.